ThP2S6 | SCAN | PBEsol geometry

Uncorrected formation energy = -0.98 eV per atom
E_tot = -20.369 eV per atom
Theoretical density = 3.5 g/cm3

abc: 6.931 6.931 9.738
angles: 90.00 90.00 90.00
Element x y z (fractional)
Th1 0.000 0.000 0.250
Th2 0.000 0.000 0.750
P1 0.063 0.350 0.000
P2 0.350 0.937 0.500
P3 0.650 0.063 0.500
P4 0.937 0.650 0.000
S1 0.176 0.177 0.500
S2 0.177 0.824 0.000
S3 0.217 0.325 0.174
S4 0.217 0.325 0.826
S5 0.325 0.783 0.326
S6 0.325 0.783 0.674
S7 0.675 0.217 0.326
S8 0.675 0.217 0.674
S9 0.783 0.675 0.174
S10 0.783 0.675 0.826
S11 0.823 0.176 0.000
S12 0.824 0.823 0.500

=====

Li3MnSb4O12 | SCAN | PBEsol geometry

Uncorrected formation energy = -1.75 eV per atom
E_tot = -14.217 eV per atom
Theoretical density = 5.7 g/cm3

abc: 5.237 5.522 7.618
angles: 85.89 89.95 89.94
Element x y z (fractional)
Li1 0.000 0.000 0.000
Li2 0.000 0.000 0.497
Li3 0.499 0.515 0.002
Mn1 0.499 0.506 0.495
Sb1 0.500 0.947 0.210
Sb2 0.502 0.937 0.720
Sb3 0.997 0.437 0.210
Sb4 0.999 0.433 0.722
O1 0.138 0.412 0.965
O2 0.174 0.113 0.270
O3 0.201 0.731 0.635
O4 0.306 0.238 0.636
O5 0.322 0.614 0.266
O6 0.363 0.911 0.964
O7 0.628 0.906 0.462
O8 0.668 0.600 0.765
O9 0.691 0.246 0.133
O10 0.801 0.740 0.134
O11 0.833 0.101 0.768
O12 0.870 0.410 0.463

=====

La2HIN | SCAN | PBEsol geometry

E_tot = -27.436 eV per atom
Theoretical density = 5.6 g/cm3

abc: 4.880 4.880 5.212
angles: 90.00 90.00 90.00
Element x y z (fractional)
La1 0.000 0.500 0.000
La2 0.500 0.000 0.000
H1 0.000 0.000 0.500
I1 0.500 0.500 0.500
N1 0.500 0.500 0.000

=====

Hf2MgScS | SCAN | PBEsol geometry

Uncorrected formation energy = 0.83 eV per atom
E_tot = -30.008 eV per atom
Theoretical density = 6.3 g/cm3

abc: 5.045 5.045 4.717
angles: 90.00 90.00 90.00
Element x y z (fractional)
Hf1 0.000 0.500 0.000
Hf2 0.500 0.000 0.000
Mg1 0.000 0.000 0.500
Sc1 0.500 0.500 0.000
S1 0.500 0.500 0.500

=====

ZnSiTe2 | SCAN | PBEsol geometry

Uncorrected formation energy = 0.64 eV per atom
E_tot = -23.864 eV per atom
Theoretical density = 6.6 g/cm3
Polymorph energy (0 for the lowest one) = 591 meV per atom

abc: 4.995 4.995 4.995
angles: 60.00 60.00 60.00
Element x y z (fractional)
Zn1 0.000 0.000 0.000
Si1 0.750 0.750 0.750
Te1 0.250 0.250 0.250
Te2 0.500 0.500 0.500

=====

YSb2TeBr | SCAN | PBEsol geometry

Uncorrected formation energy = 0.13 eV per atom
E_tot = -31.684 eV per atom
Theoretical density = 4.9 g/cm3
Polymorph energy (0 for the lowest one) = 0 meV per atom

abc: 5.743 5.743 5.583
angles: 90.00 90.00 90.00
Element x y z (fractional)
Y1 0.000 0.000 0.000
Sb1 0.000 0.500 0.000
Sb2 0.500 0.000 0.000
Te1 0.000 0.000 0.500
Br1 0.500 0.500 0.500

=====

KTcHg2 | SCAN | PBEsol geometry

E_tot = -44.260 eV per atom
Theoretical density = 10.6 g/cm3
Formation energy from the elements = 670 meV per atom
Polymorph energy (0 for the lowest one) = 60 meV per atom

abc: 2.862 2.862 10.323
angles: 90.00 90.00 90.00
Element x y z (fractional)
K1 0.000 0.000 0.000
Tc1 0.500 0.500 0.730
Hg1 0.000 0.000 0.529
Hg2 0.500 0.500 0.273

=====

Mg2AsPb | SCAN | PBEsol geometry

E_tot = -26.668 eV per atom
Theoretical density = 5.7 g/cm3
Formation energy from the elements = -189 meV per atom
Polymorph energy (0 for the lowest one) = 148 meV per atom

abc: 6.356 6.356 6.356
angles: 104.33 104.33 120.34
Element x y z (fractional)
Mg1 0.072 0.125 0.447
Mg2 0.375 0.928 0.053
Mg3 0.678 0.625 0.553
Mg4 0.875 0.322 0.947
As1 0.000 0.000 0.000
As2 0.750 0.250 0.500
Pb1 0.250 0.750 0.500
Pb2 0.500 0.500 0.000

=====

KMg30MnO32 | SCAN | PBEsol geometry

Uncorrected formation energy = -2.90 eV per atom
E_tot = -8.758 eV per atom
Theoretical density = 3.6 g/cm3

abc: 8.483 8.483 8.560
angles: 90.00 90.00 90.00
Element x y z (fractional)
K1 0.000 0.000 0.000
Mg1 0.000 0.000 0.500
Mg2 0.000 0.251 0.252
Mg3 0.000 0.251 0.748
Mg4 0.000 0.500 0.000
Mg5 0.000 0.500 0.500
Mg6 0.000 0.749 0.252
Mg7 0.000 0.749 0.748
Mg8 0.249 0.249 0.000
Mg9 0.249 0.249 0.500
Mg10 0.249 0.751 0.000
Mg11 0.249 0.751 0.500
Mg12 0.250 0.500 0.254
Mg13 0.250 0.500 0.746
Mg14 0.251 0.000 0.252
Mg15 0.251 0.000 0.748
Mg16 0.500 0.000 0.000
Mg17 0.500 0.000 0.500
Mg18 0.500 0.250 0.254
Mg19 0.500 0.250 0.746
Mg20 0.500 0.500 0.500
Mg21 0.500 0.750 0.254
Mg22 0.500 0.750 0.746
Mg23 0.749 0.000 0.252
Mg24 0.749 0.000 0.748
Mg25 0.750 0.500 0.254
Mg26 0.750 0.500 0.746
Mg27 0.751 0.249 0.000
Mg28 0.751 0.249 0.500
Mg29 0.751 0.751 0.000
Mg30 0.751 0.751 0.500
Mn1 0.500 0.500 0.000
O1 0.000 0.000 0.273
O2 0.000 0.000 0.727
O3 0.000 0.255 0.500
O4 0.000 0.275 0.000
O5 0.000 0.500 0.251
O6 0.000 0.500 0.749
O7 0.000 0.725 0.000
O8 0.000 0.745 0.500
O9 0.250 0.500 0.500
O10 0.251 0.251 0.249
O11 0.251 0.251 0.751
O12 0.251 0.749 0.249
O13 0.251 0.749 0.751
O14 0.255 0.000 0.500
O15 0.268 0.500 0.000
O16 0.275 0.000 0.000
O17 0.500 0.000 0.251
O18 0.500 0.000 0.749
O19 0.500 0.250 0.500
O20 0.500 0.268 0.000
O21 0.500 0.500 0.258
O22 0.500 0.500 0.742
O23 0.500 0.732 0.000
O24 0.500 0.750 0.500
O25 0.725 0.000 0.000
O26 0.732 0.500 0.000
O27 0.745 0.000 0.500
O28 0.749 0.251 0.249
O29 0.749 0.251 0.751
O30 0.749 0.749 0.249
O31 0.749 0.749 0.751
O32 0.750 0.500 0.500

=====

CuTc2Mo | SCAN | PBEsol geometry

E_tot = -29.838 eV per atom
Theoretical density = 10.7 g/cm3
Formation energy from the elements = 213 meV per atom
Polymorph energy (0 for the lowest one) = 43 meV per atom

abc: 2.701 2.701 7.562
angles: 90.00 90.00 90.00
Element x y z (fractional)
Cu1 0.000 0.000 0.000
Tc1 0.000 0.000 0.520
Tc2 0.500 0.500 0.754
Mo1 0.500 0.500 0.248

=====

La6Zn4Pd13 | SCAN | PBEsol geometry

E_tot = -32.973 eV per atom
Theoretical density = 9.3 g/cm3
Formation energy from the elements = -853 meV per atom

abc: 8.310 8.310 8.310
angles: 109.47 109.47 109.47
Element x y z (fractional)
La1 0.000 0.303 0.303
La2 0.000 0.697 0.697
La3 0.303 0.000 0.303
La4 0.303 0.303 0.000
La5 0.697 0.000 0.697
La6 0.697 0.697 0.000
Zn1 0.000 0.000 0.500
Zn2 0.000 0.500 0.000
Zn3 0.500 0.000 0.000
Zn4 0.500 0.500 0.500
Pd1 0.000 0.000 0.000
Pd2 0.000 0.331 0.669
Pd3 0.000 0.669 0.331
Pd4 0.331 0.000 0.669
Pd5 0.331 0.331 0.662
Pd6 0.331 0.662 0.331
Pd7 0.331 0.669 0.000
Pd8 0.338 0.669 0.669
Pd9 0.662 0.331 0.331
Pd10 0.669 0.000 0.331
Pd11 0.669 0.331 0.000
Pd12 0.669 0.338 0.669
Pd13 0.669 0.669 0.338

=====

YAgHg2 | SCAN | PBEsol geometry

E_tot = -49.271 eV per atom
Theoretical density = 11.6 g/cm3
Formation energy from the elements = -385 meV per atom

abc: 3.549 3.549 6.784
angles: 90.00 90.00 90.00
Element x y z (fractional)
Y1 0.000 0.000 0.000
Ag1 0.000 0.000 0.500
Hg1 0.500 0.500 0.272
Hg2 0.500 0.500 0.728

=====

CuSi | SCAN | PBEsol geometry

Uncorrected formation energy = 0.32 eV per atom
E_tot = -12.292 eV per atom
Theoretical density = 5.3 g/cm3

abc: 5.032 5.032 3.935
angles: 90.00 90.00 120.00
Element x y z (fractional)
Cu1 0.000 0.000 0.000
Cu2 0.333 0.667 0.500
Cu3 0.667 0.333 0.500
Si1 0.000 0.500 0.000
Si2 0.500 0.000 0.000
Si3 0.500 0.500 0.000

=====

ReTeMo2 | SCAN | PBEsol geometry

Uncorrected formation energy = 0.67 eV per atom
E_tot = -43.863 eV per atom
Theoretical density = 12.2 g/cm3

abc: 2.836 2.836 9.207
angles: 90.00 90.00 111.72
Element x y z (fractional)
Re1 0.000 0.000 0.000
Te1 0.500 0.500 0.284
Mo1 0.000 0.000 0.553
Mo2 0.500 0.500 0.780

=====

Ti2SnBiSe | SCAN | PBEsol geometry

Uncorrected formation energy = 0.29 eV per atom
E_tot = -33.039 eV per atom
Theoretical density = 6.8 g/cm3

abc: 4.738 4.738 5.495
angles: 90.00 90.00 90.00
Element x y z (fractional)
Ti1 0.000 0.500 0.000
Ti2 0.500 0.000 0.000
Sn1 0.000 0.000 0.500
Bi1 0.500 0.500 0.500
Se1 0.000 0.000 0.000

=====

SrAl2InFe | SCAN | PBEsol geometry

E_tot = -16.209 eV per atom
Theoretical density = 3.4 g/cm3
Formation energy from the elements = 1650 meV per atom

abc: 5.650 5.650 4.801
angles: 90.00 90.00 90.00
Element x y z (fractional)
Sr1 0.000 0.000 0.000
Al1 0.000 0.500 0.000
Al2 0.500 0.000 0.000
In1 0.500 0.500 0.500
Fe1 0.000 0.000 0.500

=====

TlTcNF2 | SCAN | PBEsol geometry

Uncorrected formation energy = 0.27 eV per atom
E_tot = -24.486 eV per atom
Theoretical density = 7.3 g/cm3

abc: 4.397 4.397 4.190
angles: 90.00 90.00 90.00
Element x y z (fractional)
Tl1 0.000 0.000 0.000
Tc1 0.500 0.500 0.500
N1 0.000 0.000 0.500
F1 0.000 0.500 0.000
F2 0.500 0.000 0.000

=====

SiGeBr2 | SCAN | PBEsol geometry

Uncorrected formation energy = 0.36 eV per atom
E_tot = -16.648 eV per atom
Theoretical density = 4.7 g/cm3
Polymorph energy (0 for the lowest one) = 0 meV per atom

abc: 9.547 9.547 9.547
angles: 20.44 20.44 20.44
Element x y z (fractional)
Si1 0.000 0.000 0.000
Ge1 0.500 0.500 0.500
Br1 0.090 0.090 0.090
Br2 0.910 0.910 0.910

=====

TaReOs | SCAN | PBEsol geometry

E_tot = -69.129 eV per atom
Theoretical density = 17.1 g/cm3
Formation energy from the elements = 724 meV per atom
Polymorph energy (0 for the lowest one) = 294 meV per atom

abc: 4.247 4.247 4.247
angles: 60.00 60.00 60.00
Element x y z (fractional)
Ta1 0.000 0.000 0.000
Re1 0.750 0.750 0.750
Os1 0.250 0.250 0.250

=====

KHgRh2 | SCAN | PBEsol geometry

E_tot = -35.544 eV per atom
Theoretical density = 9.6 g/cm3
Formation energy from the elements = 466 meV per atom

abc: 6.091 6.091 6.091
angles: 153.44 130.22 57.31
Element x y z (fractional)
K1 0.000 0.000 0.000
Hg1 0.708 0.208 0.500
Rh1 0.281 0.781 0.500
Rh2 0.476 0.476 0.000

=====

TaMnCo2 | SCAN | PBEsol geometry

E_tot = -30.211 eV per atom
Theoretical density = 11.6 g/cm3
Formation energy from the elements = -349 meV per atom
Polymorph energy (0 for the lowest one) = 0 meV per atom

abc: 4.152 4.152 4.152
angles: 60.00 60.00 60.00
Element x y z (fractional)
Ta1 0.000 0.000 0.000
Mn1 0.500 0.500 0.500
Co1 0.250 0.250 0.250
Co2 0.750 0.750 0.750

=====

Li4Y3VO8 | SCAN | PBEsol geometry

Uncorrected formation energy = -3.00 eV per atom
E_tot = -13.022 eV per atom
Theoretical density = 4.4 g/cm3
Polymorph energy (0 for the lowest one) = 10 meV per atom

abc: 5.710 5.710 6.129
angles: 90.00 90.00 115.28
Element x y z (fractional)
Li1 0.000 0.000 0.000
Li2 0.000 0.500 0.246
Li3 0.500 0.000 0.754
Li4 0.500 0.500 0.500
Y1 0.000 0.500 0.741
Y2 0.500 0.000 0.259
Y3 0.500 0.500 0.000
V1 0.000 0.000 0.500
O1 0.212 0.788 0.500
O2 0.231 0.253 0.736
O3 0.253 0.231 0.264
O4 0.270 0.730 0.000
O5 0.730 0.270 0.000
O6 0.747 0.769 0.264
O7 0.769 0.747 0.736
O8 0.788 0.212 0.500